# MgCdFeSi, optimized geometry, DFT PBE-GGA
# * magnetic moment: 1.6 μB per formula unit
# * calculated total energy: -15.078 eV/f.u.
# * ΔE to the lowest computed polymorph: 0.0000 eV/atom
data_MgCdFeSi
_cell_length_a 6.2862
_cell_length_b 6.2862
_cell_length_c 6.2862
_cell_angle_alpha 90.00
_cell_angle_beta 90.00
_cell_angle_gamma 90.00
_space_group_name_H-M_alt 'F -4 3 m'
_space_group_IT_number 216
_space_group_name_Hall 'F -4 2 3'
loop_
_atom_site_label
_atom_site_type_symbol
_atom_site_fract_x
_atom_site_fract_y
_atom_site_fract_z
_atom_site_occupancy
Mg1 Mg 0.0000 0.0000 0.0000 1
Cd1 Cd 0.2500 0.2500 0.7500 1
Fe1 Fe 0.0000 0.0000 0.5000 1
Si1 Si 0.2500 0.2500 0.2500 1